# 1
Compound: V2InCl8
Source: Alexandria
Functional: GGA-PBE
Structure: relaxed

Computed properties:
Calculated density: 2.04 g cm⁻³
Uncorrected formation energy: -12.1 eV per formula unit
Symmetry: No. 12
DOS at the Fermi energy: 1.076 states/eV per atom
Energy: -47.9 eV for the cell shown
V: 408 Å³ per cell

POSCAR file:
```
V2InCl8
1.0
7.2074 0.6005 0.4556
0.8803 7.9656 0.7552
0.8803 2.8722 7.4681
Cl In V
8 1 2
Direct
0.2283 0.3259 0.9235 Cl
0.8040 0.6391 0.6391 Cl
0.3644 0.8196 0.8196 Cl
0.7717 0.0765 0.6741 Cl
0.7717 0.6741 0.0765 Cl
0.2283 0.9235 0.3259 Cl
0.1960 0.3609 0.3609 Cl
0.6356 0.1804 0.1804 Cl
0.0000 0.0000 0.0000 In
0.6746 0.7983 0.7983 V
0.3254 0.2017 0.2017 V
```

=====

# 2
Compound: Al2Si2Ir
Source: Alexandria
Functional: GGA-PBE
Structure: relaxed

Computed properties:
Calculated density: 6.45 g cm⁻³
Uncorrected formation energy: 2.1 eV per formula unit
Symmetry: No. 139
DOS at the Fermi energy: 0.585 states/eV per atom
Energy: -25.1 eV for the cell shown
V: 78 Å³ per cell

POSCAR file:
```
Al2Si2Ir
1.0
3.6395 0.0000 0.0000
0.0000 3.6395 0.0000
1.8198 1.8198 5.8743
Si Ir Al
2 1 2
Direct
0.4034 0.4034 0.1933 Si
0.5966 0.5966 0.8067 Si
0.0000 0.0000 0.0000 Ir
0.7500 0.2500 0.5000 Al
0.2500 0.7500 0.5000 Al
```

=====

# 3
Compound: Pa4GaTc4
Source: Alexandria
Functional: GGA-PBE
Structure: relaxed

Computed properties:
Calculated density: 11.94 g cm⁻³
ΔE_f: -0.0153 eV/atom
Symmetry: No. 137
DOS at the Fermi energy: 0.708 states/eV per atom
Energy: -165.2 eV for the cell shown
V: 385 Å³ per cell

POSCAR file:
```
Pa4GaTc4
1.0
-5.1461 -4.8438 -4.0471
6.2486 -4.6483 -2.3820
-0.6374 -3.2899 4.7479
Tc Pa Ga
8 8 2
Direct
0.2431 0.5000 0.7425 Tc
0.2569 0.0000 0.7575 Tc
0.0000 0.7431 0.2425 Tc
0.5000 0.2431 0.2575 Tc
0.7569 0.5000 0.7425 Tc
0.7431 0.0000 0.7575 Tc
0.5000 0.7569 0.2575 Tc
0.0000 0.2569 0.2425 Tc
0.0000 0.7125 0.6955 Pa
0.0000 0.2875 0.6955 Pa
0.5000 0.7875 0.8045 Pa
0.7875 0.5000 0.1955 Pa
0.5000 0.2125 0.8045 Pa
0.2125 0.5000 0.1955 Pa
0.7125 0.0000 0.3045 Pa
0.2875 0.0000 0.3045 Pa
0.5000 0.5000 0.5000 Ga
0.0000 0.0000 0.0000 Ga
```

=====

# 4
Compound: Zn2Ga2Co
Source: Alexandria
Functional: GGA-PBE
Structure: relaxed

Computed properties:
Calculated density: 7.04 g cm⁻³
ΔE_f: 0.1679 eV/atom
Symmetry: No. 127
DOS at the Fermi energy: 0.484 states/eV per atom
Energy: -29.7 eV for the cell shown
V: 155 Å³ per cell

POSCAR file:
```
Zn2Ga2Co
1.0
-4.8473 3.9623 -1.3546
1.1692 -0.7090 -6.2579
-2.3759 -2.9443 -0.1103
Zn Co Ga
4 2 4
Direct
0.3445 0.1555 0.5000 Zn
0.1555 0.6555 0.5000 Zn
0.6555 0.8445 0.5000 Zn
0.8445 0.3445 0.5000 Zn
0.5000 0.5000 0.0000 Co
0.0000 0.0000 0.0000 Co
0.6522 0.1522 0.0000 Ga
0.8478 0.6522 0.0000 Ga
0.1522 0.3478 0.0000 Ga
0.3478 0.8478 0.0000 Ga
```

=====

# 5
Compound: KP2OsO
Source: Alexandria
Functional: GGA-PBE
Structure: relaxed

Computed properties:
Calculated density: 5.55 g cm⁻³
Uncorrected formation energy: 0.2 eV per formula unit
Symmetry: No. 123
DOS at the Fermi energy: 0.912 states/eV per atom
Energy: -27.9 eV for the cell shown
V: 92 Å³ per cell

POSCAR file:
```
KP2OsO
1.0
-1.3472 2.1038 4.2185
3.4696 -2.5276 2.3685
2.4906 2.8379 -0.6199
Os P K O
1 2 1 1
Direct
0.0000 0.0000 0.0000 Os
0.5000 0.0000 0.0000 P
0.0000 0.5000 0.0000 P
0.5000 0.5000 0.5000 K
0.0000 0.0000 0.5000 O
```

=====

# 6
Compound: CsSbAsI2
Source: Alexandria
Functional: GGA-PBE
Structure: relaxed

Computed properties:
Calculated density: 4.65 g cm⁻³
Uncorrected formation energy: -1.4 eV per formula unit
Symmetry: No. 123
DOS at the Fermi energy: 0.537 states/eV per atom
Energy: -14.1 eV for the cell shown
V: 208 Å³ per cell

POSCAR file:
```
CsSbAsI2
1.0
6.2291 0.0000 0.0000
0.0000 6.2291 0.0000
0.0000 0.0000 5.3718
Sb As Cs I
1 1 1 2
Direct
0.0000 0.0000 0.5000 Sb
0.0000 0.0000 0.0000 As
0.5000 0.5000 0.5000 Cs
0.5000 0.0000 0.0000 I
0.0000 0.5000 0.0000 I
```

=====

# 7
Compound: K2NaAu9
Source: Alexandria
Functional: GGA-PBE
Structure: relaxed

Computed properties:
Calculated density: 11.66 g cm⁻³
ΔE_f: -0.2466 eV/atom
Symmetry: No. 166
DOS at the Fermi energy: 0.157 states/eV per atom
Energy: -36.0 eV for the cell shown
V: 267 Å³ per cell

POSCAR file:
```
K2NaAu9
1.0
5.4422 0.0000 1.6197
2.4801 4.8443 1.6197
-0.0452 -0.0276 10.1046
Na Au K
1 9 2
Direct
0.0000 0.0000 0.0000 Na
0.5000 0.5000 0.5000 Au
0.4184 0.4184 0.2444 Au
0.6676 0.6676 0.9973 Au
0.0812 0.5816 0.7556 Au
0.9188 0.4184 0.2444 Au
0.5816 0.0812 0.7556 Au
0.5816 0.5816 0.7556 Au
0.4184 0.9188 0.2444 Au
0.3324 0.3324 0.0027 Au
0.8572 0.8572 0.4284 K
0.1428 0.1428 0.5716 K
```

=====

# 8
Compound: PrTiBr
Source: Alexandria
Functional: GGA-PBE
Structure: relaxed

Computed properties:
Calculated density: 4.71 g cm⁻³
Uncorrected formation energy: -1.6 eV per formula unit
Symmetry: No. 12
DOS at the Fermi energy: 0.917 states/eV per atom
Energy: -31.9 eV for the cell shown
V: 189 Å³ per cell

POSCAR file:
```
PrTiBr
1.0
-4.4753 0.1775 -0.2045
-2.9562 -2.3556 -2.4112
-9.4580 -11.0440 6.1667
Pr Ti Br
2 2 2
Direct
0.0705 0.0705 0.8589 Pr
0.6827 0.6827 0.4484 Pr
0.9896 0.9896 0.6690 Ti
0.7635 0.7635 0.6383 Ti
0.1956 0.1956 0.0063 Br
0.5577 0.5577 0.3011 Br
```

=====

# 9
Compound: RePd
Source: Alexandria
Functional: GGA-PBE
Structure: relaxed

Computed properties:
Calculated density: 8.34 g cm⁻³
ΔE_f: 1.6056 eV/atom
Symmetry: No. 217
DOS at the Fermi energy: 1.317 states/eV per atom
Energy: -115.4 eV for the cell shown
V: 466 Å³ per cell

POSCAR file:
```
RePd
1.0
-1.6914 0.4874 7.5496
4.7218 -5.9762 1.4437
5.9109 4.9135 1.0071
Re Pd
8 8
Direct
0.6155 0.6155 0.3845 Re
0.1155 0.1155 0.8845 Re
0.8845 0.8845 0.8845 Re
0.1155 0.8845 0.1155 Re
0.3845 0.3845 0.3845 Re
0.8845 0.1155 0.1155 Re
0.3845 0.6155 0.6155 Re
0.6155 0.3845 0.6155 Re
0.2014 0.7986 0.7986 Pd
0.7986 0.7986 0.2014 Pd
0.2986 0.2986 0.7014 Pd
0.2014 0.2014 0.2014 Pd
0.7014 0.7014 0.7014 Pd
0.7014 0.2986 0.2986 Pd
0.2986 0.7014 0.2986 Pd
0.7986 0.2014 0.7986 Pd
```

=====

# 10
Compound: NaDyIn4S8
Source: Alexandria
Functional: GGA-PBE
Structure: relaxed

Computed properties:
Calculated density: 4.32 g cm⁻³
Uncorrected formation energy: -12.2 eV per formula unit
Symmetry: No. 160
Energy: -62.1 eV for the cell shown
V: 347 Å³ per cell

POSCAR file:
```
NaDyIn4S8
1.0
7.8601 0.0000 0.0000
3.9301 6.8071 0.0000
3.9301 2.2690 6.4817
S Dy In Na
8 1 4 1
Direct
0.2471 0.7759 0.7299 S
0.7561 0.7561 0.2616 S
0.2471 0.2471 0.7299 S
0.7759 0.2471 0.7299 S
0.7561 0.2263 0.2616 S
0.2380 0.2380 0.2861 S
0.2263 0.7561 0.2616 S
0.7594 0.7594 0.7217 S
0.0073 0.0073 0.9780 Dy
0.4805 0.0056 0.5083 In
0.0056 0.4805 0.5083 In
0.6229 0.6229 0.1313 In
0.0056 0.0056 0.5083 In
0.3722 0.3722 0.8833 Na
```

=====

# 11
Compound: Se3SI
Source: Alexandria
Functional: GGA-PBE
Structure: relaxed

Computed properties:
Calculated density: 4.07 g cm⁻³
Uncorrected formation energy: 6.3 eV per formula unit
Symmetry: No. 221
DOS at the Fermi energy: 0.972 states/eV per atom
Energy: -9.9 eV for the cell shown
V: 162 Å³ per cell

POSCAR file:
```
Se3SI
1.0
-0.0122 2.1261 5.0139
-5.4020 -0.6413 0.2588
0.6915 -4.9728 2.1104
S Se I
1 3 1
Direct
0.5000 0.5000 0.5000 S
0.5000 0.0000 0.0000 Se
0.0000 0.5000 0.0000 Se
0.0000 0.0000 0.5000 Se
0.0000 0.0000 0.0000 I
```

=====

# 12
Compound: ThTeW
Source: Alexandria
Functional: GGA-PBE
Structure: relaxed

Computed properties:
Calculated density: 11.56 g cm⁻³
Uncorrected formation energy: -0.1 eV per formula unit
Symmetry: No. 2
DOS at the Fermi energy: 0.820 states/eV per atom
Energy: -47.2 eV for the cell shown
V: 156 Å³ per cell

POSCAR file:
```
ThTeW
1.0
3.5019 0.0659 0.5095
-0.1418 5.7597 0.3307
0.6744 -1.4447 7.7472
Te W Th
2 2 2
Direct
0.1920 0.2749 0.1176 Te
0.8080 0.7251 0.8824 Te
0.5466 0.3068 0.4081 W
0.4534 0.6932 0.5919 W
0.1063 0.8023 0.2800 Th
0.8937 0.1977 0.7200 Th
```